TbPr2Lu | Alexandria via LeMat-Bulk | PBE | optimized geometry; total magnetic moment = 0.00 Bohr magnetons per cell; E_form = 0.019 eV per atom; space-group type = P4/mmm
1.0
-1.443 4.013 2.671
0.220 -2.790 4.309
4.917 1.352 0.625
Pr Lu Tb
2 1 1
direct
0.000 0.000 0.500 Pr
0.000 0.500 0.000 Pr
0.500 0.500 0.500 Lu
0.500 0.000 0.000 Tb


TbPr2Lu | Alexandria via LeMat-Bulk | PBE | optimized geometry; total magnetic moment = 0.00 Bohr magnetons per cell; E_form = 0.018 eV per atom; space-group type = R-3m
1.0
3.621 0.000 0.000
1.811 3.136 0.000
1.811 1.045 11.663
Pr Lu Tb
2 1 1
direct
0.751 0.751 0.747 Pr
0.249 0.249 0.253 Pr
0.500 0.500 0.500 Lu
0.000 0.000 0.000 Tb


- E_form of number 2 (TbPr2Lu)?
  0.018 eV per atom


- Which of these has the highest E_form?
  number 1


- Which value of E_form does entry 2 give?
  0.018 eV per atom


- Look up the total magnetic moment of the first one.
  0.00 Bohr magnetons per cell